Entry 1:
! Nd2P2Pd, relaxed, DFT GGA-PBE; values from VASP
&SYSTEM
  ibrav = 0, nat = 10, ntyp = 3
/
ATOMIC_SPECIES
Nd 144.24 Nd.upf
P 30.97 P.upf
Pd 106.42 Pd.upf
ATOMIC_POSITIONS crystal
Nd 0.699 0.249 0.353
Nd 0.907 0.281 0.904
Nd 0.093 0.719 0.096
Nd 0.301 0.751 0.647
P 0.341 0.185 0.133
P 0.959 0.668 0.414
P 0.659 0.815 0.867
P 0.041 0.332 0.586
Pd 0.574 0.174 0.679
Pd 0.426 0.826 0.321
CELL_PARAMETERS angstrom
4.156 0.000 0.000
2.078 5.461 0.169
2.078 1.157 9.580
! - Electronic total energy: -6.31 eV/atom
! - Space group: C2/m, No. 12
! - N(E_F): 2.44 states/eV/f.u.
! - Total moment: 0.00 μB/cell

---

Entry 2:
! Er6AgHg5, relaxed, DFT GGA-PBE; values from VASP
&SYSTEM
  ibrav = 0, nat = 12, ntyp = 3
/
ATOMIC_SPECIES
Er 167.26 Er.upf
Hg 200.59 Hg.upf
Ag 107.87 Ag.upf
ATOMIC_POSITIONS crystal
Er 0.834 0.248 0.331
Er 0.500 0.248 0.000
Er 0.500 0.752 0.000
Er 0.166 0.752 0.669
Er 0.834 0.752 0.331
Er 0.166 0.248 0.669
Hg 0.333 0.500 0.334
Hg 0.000 0.500 0.000
Hg 0.335 0.000 0.329
Hg 0.667 0.500 0.666
Hg 0.665 0.000 0.671
Ag 0.000 0.000 0.000
CELL_PARAMETERS angstrom
0.689 4.521 2.431
-5.410 -1.711 4.716
5.541 -1.085 5.963
! - Electronic total energy: -3.10 eV/atom
! - Space group: Cmmm, No. 65
! - N(E_F): 8.71 states/eV/f.u.
! - Total moment: 0.00 μB/cell

---

Entry 3:
! K4ZrSe, relaxed, DFT GGA-PBE; values from VASP
&SYSTEM
  ibrav = 0, nat = 6, ntyp = 3
/
ATOMIC_SPECIES
K 39.10 K.upf
Se 78.96 Se.upf
Zr 91.22 Zr.upf
ATOMIC_POSITIONS crystal
K 0.377 0.377 0.870
K 0.870 0.377 0.377
K 0.377 0.870 0.377
K 0.377 0.377 0.377
Se 0.750 0.750 0.750
Zr 0.000 0.000 0.000
CELL_PARAMETERS angstrom
0.000 4.934 4.934
4.934 0.000 4.934
4.934 4.934 0.000
! - Electronic total energy: -2.08 eV/atom
! - Space group: F-43m, No. 216
! - N(E_F): 9.80 states/eV/f.u.
! - Total moment: 4.44 μB/cell

---

Entry 4:
! YTcRu, relaxed, DFT GGA-PBE; values from VASP
&SYSTEM
  ibrav = 0, nat = 3, ntyp = 3
/
ATOMIC_SPECIES
Tc 98.00 Tc.upf
Ru 101.07 Ru.upf
Y 88.91 Y.upf
ATOMIC_POSITIONS crystal
Tc 0.667 0.333 0.303
Ru 0.000 0.000 0.028
Y 0.333 0.667 0.669
CELL_PARAMETERS angstrom
2.941 0.000 0.000
-1.470 2.547 0.000
0.000 0.000 7.199
! - Electronic total energy: -8.22 eV/atom
! - Space group: P3m1, No. 156
! - N(E_F): 4.81 states/eV/f.u.
! - Distance to the lowest polymorph of the same formula: 723 meV/atom
! - Total moment: 0.00 μB/cell

---

Entry 5:
! Sr2Mg6Cd3, relaxed, DFT GGA-PBE; values from VASP
&SYSTEM
  ibrav = 0, nat = 11, ntyp = 3
/
ATOMIC_SPECIES
Mg 24.30 Mg.upf
Sr 87.62 Sr.upf
Cd 112.41 Cd.upf
ATOMIC_POSITIONS crystal
Mg 0.000 0.000 0.794
Mg 0.500 0.751 0.751
Mg 0.000 0.794 0.000
Mg 0.500 0.249 0.000
Mg 0.500 0.000 0.249
Mg 0.000 0.206 0.206
Sr 0.000 0.667 0.333
Sr 0.000 0.333 0.667
Cd 0.500 0.406 0.406
Cd 0.500 0.000 0.594
Cd 0.500 0.594 0.000
CELL_PARAMETERS angstrom
-2.354 4.060 1.519
-1.755 -3.784 7.393
7.157 4.479 -0.882
! - Electronic total energy: -1.54 eV/atom
! - Space group: P-62m, No. 189
! - N(E_F): 6.85 states/eV/f.u.
! - Total moment: 0.00 μB/cell

---

Entry 6:
! BaSbAu, relaxed, DFT GGA-PBE; values from VASP
&SYSTEM
  ibrav = 0, nat = 6, ntyp = 3
/
ATOMIC_SPECIES
Ba 137.33 Ba.upf
Au 196.97 Au.upf
Sb 121.76 Sb.upf
ATOMIC_POSITIONS crystal
Ba 0.000 0.000 0.000
Ba 0.000 0.000 0.500
Au 0.333 0.667 0.250
Au 0.667 0.333 0.750
Sb 0.667 0.333 0.250
Sb 0.333 0.667 0.750
CELL_PARAMETERS angstrom
4.840 0.000 0.000
-2.420 4.191 0.000
0.000 0.000 9.485
! - Electronic total energy: -4.03 eV/atom
! - Space group: P6_3/mmc, No. 194
! - N(E_F): 0.04 states/eV/f.u.
! - Total moment: 0.00 μB/cell

---

Entry 7:
! CaTh2OsN4, relaxed, DFT GGA-PBE; values from VASP
&SYSTEM
  ibrav = 0, nat = 16, ntyp = 4
/
ATOMIC_SPECIES
Os 190.23 Os.upf
Ca 40.08 Ca.upf
N 14.01 N.upf
Th 232.04 Th.upf
ATOMIC_POSITIONS crystal
Os 0.813 0.627 0.750
Os 0.187 0.373 0.250
Ca 0.061 0.122 0.750
Ca 0.939 0.878 0.250
N 0.000 0.000 0.500
N 0.406 0.811 0.750
N 0.744 0.487 0.606
N 0.256 0.513 0.106
N 0.000 0.000 0.000
N 0.744 0.487 0.894
N 0.256 0.513 0.394
N 0.594 0.189 0.250
Th 0.367 0.734 0.947
Th 0.633 0.266 0.053
Th 0.367 0.734 0.553
Th 0.633 0.266 0.447
CELL_PARAMETERS angstrom
3.662 0.000 0.000
-1.831 5.988 0.000
0.000 0.000 12.579
! - Electronic total energy: -8.51 eV/atom
! - Space group: Cmcm, No. 63
! - N(E_F): 3.78 states/eV/f.u.
! - Total moment: 0.00 μB/cell

---

Entry 8:
! Li2ScIn, relaxed, DFT GGA-PBE; values from VASP
&SYSTEM
  ibrav = 0, nat = 4, ntyp = 3
/
ATOMIC_SPECIES
Li 6.94 Li.upf
In 114.82 In.upf
Sc 44.96 Sc.upf
ATOMIC_POSITIONS crystal
Li 0.000 0.000 0.998
Li 0.500 0.500 0.235
In 0.500 0.500 0.745
Sc 0.000 0.000 0.521
CELL_PARAMETERS angstrom
-0.700 2.991 0.245
-2.669 -0.912 3.502
4.789 0.804 3.859
! - Electronic total energy: -3.32 eV/atom
! - Space group: Pmm2, No. 25
! - N(E_F): 3.47 states/eV/f.u.
! - Total moment: 0.34 μB/cell

---

Please write out number 5 again, unchanged.
! Sr2Mg6Cd3, relaxed, DFT GGA-PBE; values from VASP
&SYSTEM
  ibrav = 0, nat = 11, ntyp = 3
/
ATOMIC_SPECIES
Mg 24.30 Mg.upf
Sr 87.62 Sr.upf
Cd 112.41 Cd.upf
ATOMIC_POSITIONS crystal
Mg 0.000 0.000 0.794
Mg 0.500 0.751 0.751
Mg 0.000 0.794 0.000
Mg 0.500 0.249 0.000
Mg 0.500 0.000 0.249
Mg 0.000 0.206 0.206
Sr 0.000 0.667 0.333
Sr 0.000 0.333 0.667
Cd 0.500 0.406 0.406
Cd 0.500 0.000 0.594
Cd 0.500 0.594 0.000
CELL_PARAMETERS angstrom
-2.354 4.060 1.519
-1.755 -3.784 7.393
7.157 4.479 -0.882
! - Electronic total energy: -1.54 eV/atom
! - Space group: P-62m, No. 189
! - N(E_F): 6.85 states/eV/f.u.
! - Total moment: 0.00 μB/cell

---

> Which of these has the highest electronic total energy?

Sr2Mg6Cd3

---

> What is the formula in the seventh record?

CaTh2OsN4

---

> Look up the electronic total energy of the fourth one.

-8.22 eV/atom